Material: K2CuRe
Method: DFT, PBE-GGA
State: relaxed

Cell lengths 2.687, 5.704, 5.542 Å; angles 90.00, 96.07, 90.00 degrees
Fractional coordinates of all 4 atoms:
K (0.172, 0.000, 0.254)
K (0.828, 0.000, 0.746)
Cu (0.000, 0.500, 0.500)
Re (0.500, 0.500, 0.000)

Summary:
* offset from the most stable computed form: 0.428 eV per atom
* crystal system: monoclinic
* calculated total energy: -3.35 eV/atom
* ΔE_f: 514 kJ/mol of formula units

***

Material: Tb3Hg
Method: DFT, PBE-GGA
State: relaxed

Cell lengths 4.818, 4.818, 4.818 Å; angles 90.00, 90.00, 90.00 degrees
Fractional coordinates of all 4 atoms:
Tb (0.000, 0.000, 0.500)
Tb (0.000, 0.500, 0.000)
Tb (0.500, 0.000, 0.000)
Hg (0.500, 0.500, 0.500)

Summary:
* crystal system: cubic
* calculated total energy: -3.71 eV/atom
* ΔE_f: -61 kJ/mol of formula units

***

Material: AlFe2SiW
Method: DFT, PBE-GGA
State: relaxed

Cell lengths 4.072, 4.072, 4.410 Å; angles 90.00, 90.00, 90.00 degrees
Fractional coordinates of all 5 atoms:
Al (0.000, 0.000, 0.000)
Fe (0.000, 0.500, 0.000)
Fe (0.500, 0.000, 0.000)
Si (0.000, 0.000, 0.500)
W (0.500, 0.500, 0.500)

Summary:
* crystal system: tetragonal
* calculated total energy: -6.31 eV/atom
* formation energy from raw total energies: 1.4973 eV per atom

***

Material: P2AuCl
Method: DFT, PBE-GGA
State: relaxed

Cell lengths 5.753, 7.136, 4.559 Å; angles 90.00, 128.80, 90.00 degrees
Fractional coordinates of all 8 atoms:
P (0.250, 0.250, 0.000)
P (0.250, 0.750, 0.000)
P (0.750, 0.250, 0.000)
P (0.750, 0.750, 0.000)
Au (0.000, 0.000, 0.500)
Au (0.500, 0.500, 0.500)
Cl (0.000, 0.500, 0.500)
Cl (0.500, 0.000, 0.500)

Summary:
* offset from the most stable computed form: 0.387 eV per atom
* crystal system: monoclinic
* calculated total energy: -3.60 eV/atom
* formation energy from raw total energies: 0.3824 eV per atom

***

Material: PtAu3
Method: DFT, PBE-GGA
State: relaxed

Cell lengths 2.892, 2.892, 8.333 Å; angles 90.00, 90.00, 90.00 degrees
Fractional coordinates of all 4 atoms:
Pt (0.000, 0.000, 0.000)
Au (0.000, 0.000, 0.500)
Au (0.500, 0.500, 0.243)
Au (0.500, 0.500, 0.757)

Summary:
* crystal system: tetragonal
* calculated total energy: -3.94 eV/atom
* ΔE_f: 11 kJ/mol of formula units

***

Material: Pm3CSO
Method: DFT, PBE-GGA
State: relaxed

Cell lengths 8.000, 3.846, 8.549 Å; angles 90.00, 101.85, 90.00 degrees
Fractional coordinates of all 12 atoms:
Pm (0.060, 0.250, 0.345)
Pm (0.295, 0.250, 0.975)
Pm (0.374, 0.750, 0.638)
Pm (0.626, 0.250, 0.362)
Pm (0.705, 0.750, 0.025)
Pm (0.940, 0.750, 0.655)
C (0.162, 0.250, 0.641)
C (0.838, 0.750, 0.359)
S (0.327, 0.750, 0.287)
S (0.673, 0.250, 0.713)
O (0.408, 0.750, 0.907)
O (0.592, 0.250, 0.093)

Summary:
* crystal system: monoclinic
* calculated total energy: -7.08 eV/atom
* formation energy from raw total energies: -1.6505 eV per atom